1.
Entry from the Alexandria database: a relaxed structure of Ca2PbAu2 (PBE).

Output
The magnetic moment comes out at 0.000 μB/atom. The electronic total energy is -3.395 eV per atom. Its formation energy is -541 meV per atom. Its density of states at the Fermi level is 0.93 states/eV/f.u. The space group is P4/mbm (127).

a = 8.579 Å, b = 8.579 Å, c = 3.584 Å
α = 90.00°, β = 90.00°, γ = 90.00°
Atoms (fractional coordinates):
Ca (0.158, 0.342, 0.000)
Ca (0.342, 0.842, 0.000)
Ca (0.658, 0.158, 0.000)
Ca (0.842, 0.658, 0.000)
Pb (0.000, 0.000, 0.000)
Pb (0.500, 0.500, 0.000)
Au (0.129, 0.629, 0.500)
Au (0.371, 0.129, 0.500)
Au (0.629, 0.871, 0.500)
Au (0.871, 0.371, 0.500)

2.
Entry from the Alexandria database: a relaxed structure of Ca6PbAu5 (PBE).

Output
The magnetic moment comes out at 0.000 μB/atom. The electronic total energy is -3.411 eV per atom. Its formation energy is -735 meV per atom. Its density of states at the Fermi level is 6.44 states/eV/f.u. The space group is Cmmm (65).

a = 8.335 Å, b = 8.335 Å, c = 7.231 Å
α = 90.00°, β = 90.00°, γ = 143.31°
Atoms (fractional coordinates):
Ca (0.000, 0.000, 0.238)
Ca (0.000, 0.000, 0.762)
Ca (0.328, 0.672, 0.247)
Ca (0.328, 0.672, 0.753)
Ca (0.672, 0.328, 0.247)
Ca (0.672, 0.328, 0.753)
Pb (0.500, 0.500, 0.500)
Au (0.162, 0.838, 0.500)
Au (0.167, 0.833, 0.000)
Au (0.500, 0.500, 0.000)
Au (0.833, 0.167, 0.000)
Au (0.838, 0.162, 0.500)

3.
Entry from the Alexandria database: a relaxed structure of CaPb2Au (PBE).

Output
The magnetic moment comes out at 0.000 μB/atom. The electronic total energy is -3.521 eV per atom. Its formation energy is -347 meV per atom. Its density of states at the Fermi level is 1.53 states/eV/f.u. The space group is I-4m2 (119).

a = 4.733 Å, b = 4.733 Å, c = 9.461 Å
α = 90.00°, β = 90.00°, γ = 90.00°
Atoms (fractional coordinates):
Ca (0.000, 0.000, 0.000)
Ca (0.500, 0.500, 0.500)
Pb (0.000, 0.000, 0.500)
Pb (0.000, 0.500, 0.750)
Pb (0.500, 0.000, 0.250)
Pb (0.500, 0.500, 0.000)
Au (0.000, 0.500, 0.250)
Au (0.500, 0.000, 0.750)

What is the formula in the second record?
Ca6PbAu5